Computed, not measured: a relaxed structure of La2NiPt at the PBE level of DFT.

a b c (Å): 7.286 7.286 7.286
angles (deg): 33.37 33.37 33.37
Fractional coordinates of all 4 atoms:
1 La 0.502 0.502 0.502
2 La 0.998 0.998 0.998
3 Ni 0.250 0.250 0.250
4 Pt 0.750 0.750 0.750

Computed properties:
Calculated volume in Å³/cell: 104.2
SG: No. 166
Formation enthalpy at 0 K in eV/atom: -0.68